[1]
# Si3SnIr | Alexandria | SCAN | single point on PBEsol structure
# Raw formation energy   11.14 eV/f.u.
# Spin magnetization   0.00 μB per atom
# E   -25.186 eV per atom
data_Si3SnIr
_chemical_formula_sum 'Si3 Sn1 Ir1'
_space_group_name_H-M_alt 'P m -3 m'
_space_group_IT_number 221
_space_group_name_Hall '-P 4 2 3'
_cell_length_a 4.862
_cell_length_b 4.862
_cell_length_c 4.862
_cell_angle_alpha 90.00
_cell_angle_beta 90.00
_cell_angle_gamma 90.00
loop_
_atom_site_label
_atom_site_fract_x
_atom_site_fract_y
_atom_site_fract_z
Si1 0.000 0.000 0.500
Sn1 0.000 0.000 0.000
Ir1 0.500 0.500 0.500


[2]
# Ca2AsCl | Alexandria | SCAN | single point on PBEsol structure
# Raw formation energy   -6.26 eV/f.u.
# Spin magnetization   0.00 μB per atom
# E   -13.438 eV per atom
data_Ca2AsCl
_chemical_formula_sum 'Ca8 As4 Cl4'
_space_group_name_H-M_alt 'I -4 2 d'
_space_group_IT_number 122
_space_group_name_Hall 'I -4 2bw'
_cell_length_a 6.152
_cell_length_b 6.152
_cell_length_c 13.947
_cell_angle_alpha 90.00
_cell_angle_beta 90.00
_cell_angle_gamma 90.00
loop_
_atom_site_label
_atom_site_fract_x
_atom_site_fract_y
_atom_site_fract_z
Ca1 0.241 0.250 0.125
As1 0.000 0.000 0.000
Cl1 0.000 0.000 0.500


[3]
# BaReRh | Alexandria | SCAN | single point on PBEsol structure
# Spin magnetization   0.00 μB per atom
# E   -46.845 eV per atom
# Energy relative to the elements   3.88 eV per formula unit
data_BaReRh
_chemical_formula_sum 'Ba1 Re1 Rh1'
_space_group_name_H-M_alt 'P -6 m 2'
_space_group_IT_number 187
_space_group_name_Hall 'P -6 2'
_cell_length_a 4.8527
_cell_length_b 4.8527
_cell_length_c 2.9596
_cell_angle_alpha 90.00
_cell_angle_beta 90.00
_cell_angle_gamma 120.00
loop_
_atom_site_label
_atom_site_fract_x
_atom_site_fract_y
_atom_site_fract_z
Ba1 0.0000 0.0000 0.0000
Re1 0.3333 0.6667 0.5000
Rh1 0.6667 0.3333 0.5000


[4]
# YSc2MnP | Alexandria | SCAN | single point on PBEsol structure
# Spin magnetization   1.10 μB per atom
# E   -16.025 eV per atom
# Energy relative to the elements   4.85 eV per formula unit
data_YSc2MnP
_chemical_formula_sum 'Y1 Sc2 Mn1 P1'
_space_group_name_H-M_alt 'P 4/m m m'
_space_group_IT_number 123
_space_group_name_Hall '-P 4 2'
_cell_length_a 5.080
_cell_length_b 5.080
_cell_length_c 5.039
_cell_angle_alpha 90.00
_cell_angle_beta 90.00
_cell_angle_gamma 90.00
loop_
_atom_site_label
_atom_site_fract_x
_atom_site_fract_y
_atom_site_fract_z
Y1 0.000 0.000 0.000
Sc1 0.000 0.500 0.000
Mn1 0.500 0.500 0.500
P1 0.000 0.000 0.500


no.,density (g/cm³)
1,5.71
2,2.40
3,11.73
4,3.38